Nd8Dy2Ho, relaxed, DFT PBE; DOS at the Fermi energy = 18.022 states/eV/cell; E_form = 166 meV/atom; energy above the most stable polymorph in this dataset = 0.0000 eV/atom; total moment = 0.0 μB/cell; space-group type = No. 12
1.0
-5.164 -2.593 -3.463
0.914 -9.276 -4.555
-2.629 -9.959 1.240
Nd Dy Ho
8 2 1
Cartesian
-3.835 -9.782 -5.414 Nd
-2.108 -8.515 -2.292 Nd
-4.770 -13.313 -4.486 Nd
-4.712 -6.859 -3.690 Nd
-2.166 -14.969 -3.089 Nd
-5.523 -10.107 -2.652 Nd
-1.354 -11.721 -4.126 Nd
-3.043 -12.046 -1.364 Nd
-2.483 -4.847 -2.090 Dy
-4.395 -16.981 -4.689 Dy
0.000 0.000 0.000 Ho